# TcAgBi3

A relaxed structure of TcAgBi3 (PBE, Alexandria).

abc: 5.318 5.318 5.318
angles: 90.00 90.00 90.00
Element x y z (fractional)
Bi 0.000 0.000 0.500
Bi 0.000 0.500 0.000
Bi 0.500 0.000 0.000
Ag 0.500 0.500 0.500
Tc 0.000 0.000 0.000

Properties
DOS at the Fermi energy, states/eV per cell: 4.841
Formation energy, eV per formula unit: 3.20
Energy above the lowest structure with this stoichiometry, meV per atom: 0.0
Total magnetization, μB per formula unit: 0.7


# Tc3AgBi

A relaxed structure of Tc3AgBi (PBE, Alexandria).

abc: 4.916 4.916 4.916
angles: 90.00 90.00 90.00
Element x y z (fractional)
Tc 0.500 0.000 0.000
Tc 0.000 0.500 0.000
Tc 0.000 0.000 0.500
Bi 0.500 0.500 0.500
Ag 0.000 0.000 0.000

Properties
DOS at the Fermi energy, states/eV per cell: 8.263
Formation energy, eV per formula unit: 10.80
Energy above the lowest structure with this stoichiometry, meV per atom: 0.0
Total magnetization, μB per formula unit: 7.6


# TcAg3Bi

A relaxed structure of TcAg3Bi (PBE, Alexandria).

abc: 5.106 5.106 5.106
angles: 90.00 90.00 90.00
Element x y z (fractional)
Bi 0.500 0.500 0.500
Tc 0.000 0.000 0.000
Ag 0.000 0.000 0.500
Ag 0.000 0.500 0.000
Ag 0.500 0.000 0.000

Properties
DOS at the Fermi energy, states/eV per cell: 5.809
Formation energy, eV per formula unit: 6.36
Energy above the lowest structure with this stoichiometry, meV per atom: 0.0
Total magnetization, μB per formula unit: 2.7


# Tc2AgBiTe

A relaxed structure of Tc2AgBiTe (PBE, Alexandria).

abc: 5.001 5.011 5.001
angles: 90.00 90.00 90.00
Element x y z (fractional)
Tc 0.500 0.000 0.000
Tc 0.000 0.000 0.500
Ag 0.000 0.000 0.000
Te 0.000 0.500 0.000
Bi 0.500 0.500 0.500

Properties
E_form (uncorrected), eV/atom: 1.702
DOS at the Fermi energy, states/eV per cell: 4.326
Total magnetization, μB per formula unit: 5.8


# Ti2TcAgBi

A relaxed structure of Ti2TcAgBi (PBE, Alexandria).

abc: 4.706 5.241 4.706
angles: 90.00 90.00 90.00
Element x y z (fractional)
Bi 0.000 0.500 0.000
Ti 0.000 0.000 0.500
Ti 0.500 0.000 0.000
Ag 0.500 0.500 0.500
Tc 0.000 0.000 0.000

Properties
DOS at the Fermi energy, states/eV per cell: 4.903
Formation energy, eV per formula unit: 2.89
Total magnetization, μB per formula unit: 0.0


# Ag3BiTe3

A relaxed structure of Ag3BiTe3 (PBE, Alexandria).

abc: 7.884 7.884 8.851
angles: 63.55 63.55 60.00
Element x y z (fractional)
Ag 0.873 0.504 0.399
Ag 0.224 0.873 0.399
Ag 0.127 0.496 0.601
Ag 0.504 0.224 0.399
Ag 0.496 0.776 0.601
Ag 0.776 0.127 0.601
Te 0.927 0.246 0.224
Te 0.603 0.927 0.224
Te 0.754 0.397 0.776
Te 0.073 0.754 0.776
Te 0.246 0.603 0.224
Te 0.397 0.073 0.776
Bi 0.668 0.668 0.996
Bi 0.332 0.332 0.004

Properties
E_form (uncorrected), eV/atom: -0.103
Total magnetization, μB per formula unit: 0.0


# AgBi2Te

A relaxed structure of AgBi2Te (PBE, Alexandria).

abc: 4.566 4.566 7.176
angles: 71.45 71.45 60.00
Element x y z (fractional)
Te 0.500 0.500 0.500
Bi 0.733 0.733 0.800
Bi 0.267 0.267 0.200
Ag 0.000 0.000 0.000

Properties
E_form (uncorrected), eV/atom: 0.062
DOS at the Fermi energy, states/eV per cell: 2.465
Total magnetization, μB per formula unit: 0.0


# Ag2Bi2Te

A relaxed structure of Ag2Bi2Te (PBE, Alexandria).

abc: 3.980 3.980 8.939
angles: 77.14 77.14 90.00
Element x y z (fractional)
Ag 0.750 0.250 0.500
Ag 0.250 0.750 0.500
Bi 0.611 0.611 0.779
Bi 0.389 0.389 0.221
Te 0.000 0.000 0.000

Properties
E_form (uncorrected), eV/atom: 0.138
DOS at the Fermi energy, states/eV per cell: 1.972
Energy above the lowest structure with this stoichiometry, meV per atom: 19.3
Total magnetization, μB per formula unit: 0.0


# Ag2BiTe2

A relaxed structure of Ag2BiTe2 (PBE, Alexandria).

abc: 4.561 4.561 7.282
angles: 71.75 71.75 90.00
Element x y z (fractional)
Ag 0.397 0.397 0.205
Ag 0.603 0.603 0.795
Bi 0.000 0.000 0.000
Te 0.250 0.750 0.500
Te 0.750 0.250 0.500

Properties
E_form (uncorrected), eV/atom: 0.296
DOS at the Fermi energy, states/eV per cell: 2.782
Energy above the lowest structure with this stoichiometry, meV per atom: 268.5
Total magnetization, μB per formula unit: 0.0


# Ag2BiTe2

A relaxed structure of Ag2BiTe2 (PBE, Alexandria).

abc: 7.899 7.899 7.110
angles: 121.42 121.42 94.36
Element x y z (fractional)
Ag 0.219 0.468 0.434
Ag 0.468 0.219 0.934
Ag 0.532 0.781 0.066
Ag 0.781 0.532 0.566
Te 0.853 0.147 0.250
Te 0.397 0.603 0.250
Te 0.147 0.853 0.750
Te 0.603 0.397 0.750
Bi 0.876 0.124 0.750
Bi 0.124 0.876 0.250

Properties
E_form (uncorrected), eV/atom: 0.027
DOS at the Fermi energy, states/eV per cell: 3.119
Energy above the lowest structure with this stoichiometry, meV per atom: 0.0
Total magnetization, μB per formula unit: 0.0


# Ag3BiTe

A relaxed structure of Ag3BiTe (PBE, Alexandria).

abc: 7.739 7.781 8.740
angles: 115.29 90.00 90.00
Element x y z (fractional)
Te 0.774 0.103 0.955
Te 0.226 0.897 0.045
Te 0.726 0.103 0.455
Te 0.274 0.897 0.545
Ag 0.915 0.706 0.852
Ag 0.585 0.706 0.352
Ag 0.604 0.865 0.106
Ag 0.667 0.454 0.926
Ag 0.896 0.865 0.606
Ag 0.396 0.135 0.894
Ag 0.333 0.546 0.074
Ag 0.833 0.454 0.426
Ag 0.415 0.294 0.648
Ag 0.104 0.135 0.394
Ag 0.085 0.294 0.148
Ag 0.167 0.546 0.574
Bi 0.060 0.333 0.800
Bi 0.940 0.667 0.200
Bi 0.440 0.333 0.300
Bi 0.560 0.667 0.700

Properties
E_form (uncorrected), eV/atom: 0.052
DOS at the Fermi energy, states/eV per cell: 5.101
Energy above the lowest structure with this stoichiometry, meV per atom: 0.0
Total magnetization, μB per formula unit: 0.0


# Ag3BiTe4

A relaxed structure of Ag3BiTe4 (PBE, Alexandria).

abc: 4.491 7.300 7.300
angles: 71.83 90.12 90.11
Element x y z (fractional)
Te 0.388 0.238 0.738
Te 0.000 0.240 0.260
Te 0.612 0.762 0.261
Te 0.000 0.760 0.740
Ag 0.500 0.000 0.500
Ag 0.000 0.500 0.500
Ag 0.000 0.000 0.000
Bi 0.500 0.500 0.000

Properties
E_form (uncorrected), eV/atom: -0.067
DOS at the Fermi energy, states/eV per cell: 2.503
Energy above the lowest structure with this stoichiometry, meV per atom: 0.0
Total magnetization, μB per formula unit: 0.0


# Ag2BiTe

A relaxed structure of Ag2BiTe (PBE, Alexandria).

abc: 4.228 4.228 7.108
angles: 72.70 72.70 60.00
Element x y z (fractional)
Ag 0.746 0.746 0.762
Ag 0.254 0.254 0.238
Te 0.000 0.000 0.000
Bi 0.500 0.500 0.500

Properties
E_form (uncorrected), eV/atom: 0.087
DOS at the Fermi energy, states/eV per cell: 1.717
Energy above the lowest structure with this stoichiometry, meV per atom: 0.0
Total magnetization, μB per formula unit: 0.0


# Ag2BiTe

A relaxed structure of Ag2BiTe (PBE, Alexandria).

abc: 7.993 7.993 6.500
angles: 52.06 52.06 90.00
Element x y z (fractional)
Te 0.500 0.500 0.000
Te 0.250 0.750 0.500
Ag 0.375 0.385 0.750
Ag 0.135 0.625 0.250
Ag 0.615 0.125 0.250
Ag 0.875 0.865 0.750
Bi 0.750 0.250 0.500
Bi 0.000 0.000 0.000

Properties
E_form (uncorrected), eV/atom: 0.130
DOS at the Fermi energy, states/eV per cell: 4.646
Energy above the lowest structure with this stoichiometry, meV per atom: 43.1
Total magnetization, μB per formula unit: 0.0


# Ag4BiTe4

A relaxed structure of Ag4BiTe4 (PBE, Alexandria).

abc: 6.396 6.396 8.281
angles: 112.72 112.72 90.00
Element x y z (fractional)
Te 0.407 0.852 0.259
Te 0.852 0.407 0.259
Te 0.593 0.593 0.741
Te 0.148 0.148 0.741
Ag 0.223 0.223 0.447
Ag 0.000 0.500 0.000
Ag 0.777 0.777 0.553
Ag 0.500 0.000 0.000
Bi 0.000 0.000 0.000

Properties
E_form (uncorrected), eV/atom: -0.008
DOS at the Fermi energy, states/eV per cell: 6.548
Total magnetization, μB per formula unit: 0.0


# Ag2BiTe2

A relaxed structure of Ag2BiTe2 (PBE, Alexandria).

abc: 8.466 8.466 3.771
angles: 90.00 90.00 90.00
Element x y z (fractional)
Te 0.321 0.821 0.000
Te 0.679 0.179 0.000
Te 0.821 0.679 0.000
Te 0.179 0.321 0.000
Ag 0.621 0.879 0.500
Ag 0.379 0.121 0.500
Ag 0.879 0.379 0.500
Ag 0.121 0.621 0.500
Bi 0.000 0.000 0.000
Bi 0.500 0.500 0.000

Properties
E_form (uncorrected), eV/atom: 0.090
DOS at the Fermi energy, states/eV per cell: 3.340
Energy above the lowest structure with this stoichiometry, meV per atom: 62.5
Total magnetization, μB per formula unit: 0.0


# Ag12Bi3Te5

A relaxed structure of Ag12Bi3Te5 (PBE, Alexandria).

abc: 14.289 14.289 14.289
angles: 109.47 109.47 109.47
Element x y z (fractional)
Te 0.500 0.000 0.000
Te 0.500 0.000 0.500
Te 0.500 0.500 0.000
Te 0.750 0.625 0.375
Te 0.000 0.000 0.000
Te 0.000 0.500 0.000
Te 0.375 0.125 0.750
Te 0.250 0.875 0.125
Te 0.750 0.125 0.875
Te 0.625 0.875 0.250
Te 0.875 0.250 0.625
Te 0.125 0.375 0.250
Te 0.375 0.250 0.125
Te 0.000 0.000 0.500
Te 0.625 0.750 0.875
Te 0.000 0.500 0.500
Te 0.500 0.500 0.500
Te 0.250 0.375 0.625
Te 0.125 0.750 0.375
Te 0.875 0.625 0.750
Ag 0.407 0.270 0.332
Ag 0.332 0.770 0.407
Ag 0.637 0.062 0.230
Ag 0.907 0.832 0.770
Ag 0.575 0.637 0.407
Ag 0.168 0.093 0.730
Ag 0.230 0.668 0.093
Ag 0.270 0.407 0.832
Ag 0.425 0.363 0.593
Ag 0.938 0.575 0.168
Ag 0.075 0.907 0.137
Ag 0.062 0.637 0.730
Ag 0.925 0.832 0.562
Ag 0.363 0.425 0.093
Ag 0.270 0.863 0.938
Ag 0.668 0.438 0.575
Ag 0.832 0.925 0.062
Ag 0.770 0.438 0.363
Ag 0.438 0.668 0.075
Ag 0.562 0.332 0.925
Ag 0.425 0.062 0.332
Ag 0.075 0.168 0.438
Ag 0.093 0.168 0.230
Ag 0.407 0.137 0.575
Ag 0.230 0.562 0.637
Ag 0.863 0.593 0.925
Ag 0.575 0.938 0.668
Ag 0.925 0.093 0.863
Ag 0.562 0.230 0.137
Ag 0.593 0.863 0.425
Ag 0.907 0.075 0.637
Ag 0.332 0.562 0.425
Ag 0.770 0.332 0.907
Ag 0.730 0.137 0.062
Ag 0.593 0.730 0.668
Ag 0.137 0.407 0.075
Ag 0.938 0.363 0.270
Ag 0.668 0.230 0.593
Ag 0.637 0.575 0.907
Ag 0.863 0.270 0.438
Ag 0.062 0.425 0.832
Ag 0.093 0.925 0.363
Ag 0.832 0.907 0.270
Ag 0.438 0.770 0.863
Ag 0.137 0.730 0.562
Ag 0.730 0.593 0.168
Ag 0.168 0.075 0.938
Ag 0.363 0.938 0.770
Bi 0.750 0.375 0.125
Bi 0.625 0.375 0.750
Bi 0.125 0.250 0.875
Bi 0.625 0.250 0.375
Bi 0.250 0.125 0.375
Bi 0.875 0.750 0.125
Bi 0.125 0.875 0.750
Bi 0.375 0.625 0.250
Bi 0.375 0.750 0.625
Bi 0.750 0.875 0.625
Bi 0.250 0.625 0.875
Bi 0.875 0.125 0.250

Properties
E_form (uncorrected), eV/atom: 0.117
DOS at the Fermi energy, states/eV per cell: 53.919
Total magnetization, μB per formula unit: 0.0


# Ag3BiTe4

A relaxed structure of Ag3BiTe4 (PBE, Alexandria).

abc: 7.663 7.934 9.162
angles: 90.00 90.00 90.00
Element x y z (fractional)
Ag 0.504 0.835 0.000
Ag 0.498 0.330 0.253
Ag 0.998 0.670 0.753
Ag 0.998 0.670 0.247
Ag 0.498 0.330 0.747
Ag 0.004 0.165 0.500
Te 0.640 0.183 0.500
Te 0.140 0.817 0.000
Te 0.135 0.345 0.737
Te 0.635 0.655 0.763
Te 0.106 0.831 0.500
Te 0.606 0.169 0.000
Te 0.135 0.345 0.263
Te 0.635 0.655 0.237
Bi 0.499 0.834 0.500
Bi 0.999 0.166 0.000

Properties
E_form (uncorrected), eV/atom: -0.022
DOS at the Fermi energy, states/eV per cell: 12.752
Energy above the lowest structure with this stoichiometry, meV per atom: 45.4
Total magnetization, μB per formula unit: 0.0


# Ag2BiTe

A relaxed structure of Ag2BiTe (PBE, Alexandria).

abc: 5.173 5.173 5.173
angles: 60.00 60.00 60.00
Element x y z (fractional)
Ag 0.250 0.250 0.250
Ag 0.750 0.750 0.750
Bi 0.500 0.500 0.500
Te 0.000 0.000 0.000

Properties
E_form (uncorrected), eV/atom: 0.241
DOS at the Fermi energy, states/eV per cell: 3.080
Energy above the lowest structure with this stoichiometry, meV per atom: 153.6
Total magnetization, μB per formula unit: 0.0


# AgBiTe

A relaxed structure of AgBiTe (PBE, Alexandria).

abc: 4.264 4.264 5.361
angles: 90.00 90.00 120.00
Element x y z (fractional)
Ag 0.333 0.667 0.658
Bi 0.000 0.000 0.973
Te 0.667 0.333 0.369

Properties
E_form (uncorrected), eV/atom: 0.007
DOS at the Fermi energy, states/eV per cell: 1.206
Energy above the lowest structure with this stoichiometry, meV per atom: 0.0
Total magnetization, μB per formula unit: 0.0